# RbAu (GGA-PBE, optimized geometry)
# ΔE_f (kcal/mol of atoms): -5.11
# D(E_F) (states/eV per atom): 0.0133
# Magnetization (μB per cell): 0.00
data_RbAu
_cell_length_a 12.2847
_cell_length_b 12.2847
_cell_length_c 4.9046
_cell_angle_alpha 90.00
_cell_angle_beta 90.00
_cell_angle_gamma 90.00
_space_group_name_H-M_alt 'I 4/m'
_space_group_IT_number 87
_space_group_name_Hall '-I 4'
loop_
_atom_site_label
_atom_site_fract_x
_atom_site_fract_y
_atom_site_fract_z
Rb1 0.0032 0.2443 0.0000
Au1 0.1996 0.7789 0.5000

# YCu2Ir2 (GGA-PBE, optimized geometry)
# ΔE_f (kcal/mol of atoms): -2.43
# D(E_F) (states/eV per atom): 1.2337
# Magnetization (μB per cell): 0.00
data_YCu2Ir2
_cell_length_a 7.2329
_cell_length_b 7.2329
_cell_length_c 3.0073
_cell_angle_alpha 90.00
_cell_angle_beta 90.00
_cell_angle_gamma 90.00
_space_group_name_H-M_alt 'P 4/m b m'
_space_group_IT_number 127
_space_group_name_Hall '-P 4 2ab'
loop_
_atom_site_label
_atom_site_fract_x
_atom_site_fract_y
_atom_site_fract_z
Y1 0.0000 0.0000 0.0000
Cu1 0.1232 0.3768 0.0000
Ir1 0.1720 0.6720 0.5000

# MnZn2Ru (GGA-PBE, optimized geometry)
# ΔE_f (kcal/mol of atoms): 0.39
# D(E_F) (states/eV per atom): 0.6396
# Magnetization (μB per cell): 7.06
data_MnZn2Ru
_cell_length_a 3.3836
_cell_length_b 4.0805
_cell_length_c 8.0109
_cell_angle_alpha 90.00
_cell_angle_beta 90.00
_cell_angle_gamma 90.00
_space_group_name_H-M_alt 'I m m 2'
_space_group_IT_number 44
_space_group_name_Hall 'I 2 -2'
loop_
_atom_site_label
_atom_site_fract_x
_atom_site_fract_y
_atom_site_fract_z
Mn1 0.0000 0.0000 0.0000
Zn1 0.0000 0.0000 0.5057
Zn2 0.0000 0.5000 0.2471
Ru1 0.0000 0.5000 0.7508

# Cs6Pt (GGA-PBE, optimized geometry)
# ΔE_f (kcal/mol of atoms): -0.73
# D(E_F) (states/eV per atom): 0.8819
# Magnetization (μB per cell): 0.00
data_Cs6Pt
_cell_length_a 17.2874
_cell_length_b 15.7736
_cell_length_c 9.1097
_cell_angle_alpha 90.00
_cell_angle_beta 90.00
_cell_angle_gamma 90.00
_space_group_name_H-M_alt 'P n m a'
_space_group_IT_number 62
_space_group_name_Hall '-P 2ac 2n'
loop_
_atom_site_label
_atom_site_fract_x
_atom_site_fract_y
_atom_site_fract_z
Cs1 0.0051 0.2500 0.2015
Cs2 0.0173 0.0974 0.7470
Cs3 0.2358 0.0987 0.0702
Cs4 0.2438 0.2500 0.6142
Pt1 0.1257 0.2500 0.9091

# Pm2Pr6NdEr (GGA-PBE, optimized geometry)
# ΔE_f (kcal/mol of atoms): 2.54
# D(E_F) (states/eV per atom): 1.4729
# Magnetization (μB per cell): 0.00
data_Pm2Pr6NdEr
_cell_length_a 9.3466
_cell_length_b 15.4898
_cell_length_c 9.8969
_cell_angle_alpha 90.00
_cell_angle_beta 98.15
_cell_angle_gamma 90.00
_space_group_name_H-M_alt 'C 1 2/c 1'
_space_group_IT_number 15
_space_group_name_Hall '-C 2yc'
loop_
_atom_site_label
_atom_site_fract_x
_atom_site_fract_y
_atom_site_fract_z
Pm1 0.2474 0.0491 0.0443
Pr1 0.0647 0.1829 0.4460
Pr2 0.0993 0.3944 0.6183
Pr3 0.2105 0.2210 0.8107
Nd1 0.0000 0.0212 0.7500
Er1 0.0000 0.4097 0.2500

# Tl2P2PbO6 (GGA-PBE, optimized geometry)
# Raw formation energy (meV/atom): -1656
# D(E_F) (states/eV per atom): 0.0000
# Magnetization (μB per cell): 0.00
data_Tl2P2PbO6
_cell_length_a 10.5616
_cell_length_b 6.0662
_cell_length_c 7.1298
_cell_angle_alpha 90.00
_cell_angle_beta 122.41
_cell_angle_gamma 90.00
_space_group_name_H-M_alt 'C 1 2/m 1'
_space_group_IT_number 12
_space_group_name_Hall '-C 2y'
loop_
_atom_site_label
_atom_site_fract_x
_atom_site_fract_y
_atom_site_fract_z
Tl1 0.2147 0.0000 0.1882
P1 0.0409 0.5000 0.1796
Pb1 0.0000 0.0000 0.5000
O1 0.0246 0.2880 0.7814
O2 0.2140 0.5000 0.3105